# Ba5HoBi4 (PBE, optimized geometry)
data_Ba5HoBi4
_space_group_name_H-M_alt 'C 1 2/m 1'
_space_group_IT_number 12
_cell_length_a 22.673
_cell_length_b 5.026
_cell_length_c 9.218
_cell_angle_alpha 90.00
_cell_angle_beta 113.84
_cell_angle_gamma 90.00
loop_
_space_group_symop_operation_xyz
'x,y,z'
'-x,-y,-z'
'-x,y,-z'
'x,-y,z'
'x+1/2,y+1/2,z'
'-x+1/2,-y+1/2,-z'
'-x+1/2,y+1/2,-z'
'x+1/2,-y+1/2,z'
loop_
_atom_site_label
_atom_site_fract_x
_atom_site_fract_y
_atom_site_fract_z
Ba1 0.000 0.000 0.000
Ba2 0.165 0.500 0.414
Ba3 0.165 0.500 0.918
Ho1 0.000 0.000 0.500
Bi1 0.000 0.500 0.276
Bi2 0.189 0.000 0.689
# * formation enthalpy at 0 K: -0.721 eV/atom
# * VASP energy: -3.693 eV per atom
# * magnetization: 1.0 μB per formula unit
# * volume: 48.047 Å³ per atom